# LaBe2Ni (PBE, relaxed)
data_LaBe2Ni
_cell_length_a 4.5675
_cell_length_b 4.5675
_cell_length_c 3.1050
_cell_angle_alpha 90.00
_cell_angle_beta 90.00
_cell_angle_gamma 90.00
_symmetry_space_group_name_H-M 'P 4/m m m'
_symmetry_Int_Tables_number 123
_symmetry_space_group_name_Hall '-P 4 2'
loop_
_atom_site_label
_atom_site_type_symbol
_atom_site_fract_x
_atom_site_fract_y
_atom_site_fract_z
La1 La 0.0000 0.0000 0.0000
Be1 Be 0.0000 0.5000 0.5000
Ni1 Ni 0.5000 0.5000 0.0000
# E: -15.5 eV per formula unit
# calculated formation energy: 63.8 kJ per mole of atoms
# N(E_F): 4.6 states/eV/cell
# distance to the lowest polymorph of the same formula: 859.2 meV/atom